Record 1
A relaxed structure of Ba6LiAg. Source: Alexandria via LeMat-Bulk, functional GGA-PBE.

Output
Calculated volume   50.3 A^3/atom
E   -16.62 eV per formula unit
Fermi-level density of states   8.3 states/eV per cell
Energy relative to the elements   -3.8 kJ/mol of atoms
SG   No. 139

abc: 6.0605 6.0605 11.7659
angles: 75.08 75.08 90.00
Fractional positions:
Ba 0.7482 0.7482 0.5037
Ba 0.5924 0.0924 0.8151
Ba 0.0925 0.5924 0.8151
Ba 0.4076 0.9076 0.1849
Ba 0.2518 0.2518 0.4963
Ba 0.9075 0.4076 0.1849
Li 0.5000 0.5000 0.0000
Ag 0.0000 0.0000 0.0000



Record 2
A relaxed structure of Ba2LiAg2. Source: Alexandria via LeMat-Bulk, functional GGA-PBE.

Output
Calculated volume   33.0 A^3/atom
E   -12.57 eV per formula unit
Fermi-level density of states   6.0 states/eV per cell
Energy relative to the elements   -21.4 kJ/mol of atoms
SG   No. 12

abc: 4.8139 6.7696 11.0929
angles: 83.58 77.47 69.17
Fractional positions:
Ba 0.3121 0.2649 0.1108
Ba 0.5054 0.3220 0.6672
Ba 0.6879 0.7351 0.8892
Ba 0.4946 0.6780 0.3328
Li 0.7743 0.0717 0.3796
Li 0.2257 0.9283 0.6204
Ag 0.9900 0.1360 0.8841
Ag 0.1396 0.2846 0.4362
Ag 0.0100 0.8640 0.1159
Ag 0.8604 0.7154 0.5638



Record 3
A relaxed structure of BaLi3Ag3. Source: Alexandria via LeMat-Bulk, functional GGA-PBE.

Output
Calculated volume   25.9 A^3/atom
E   -16.26 eV per formula unit
Fermi-level density of states   9.3 states/eV per cell
Energy relative to the elements   -0.5 kJ/mol of atoms
SG   No. 223

abc: 7.1305 7.1305 7.1305
angles: 90.00 90.00 90.00
Fractional positions:
Ba 0.5000 0.5000 0.5000
Ba 0.0000 0.0000 0.0000
Ag 0.2500 0.0000 0.5000
Ag 0.0000 0.5000 0.2500
Ag 0.5000 0.7500 0.0000
Ag 0.7500 0.0000 0.5000
Ag 0.0000 0.5000 0.7500
Ag 0.5000 0.2500 0.0000
Li 0.0000 0.2500 0.5000
Li 0.0000 0.7500 0.5000
Li 0.5000 0.0000 0.7500
Li 0.7500 0.5000 0.0000
Li 0.5000 0.0000 0.2500
Li 0.2500 0.5000 0.0000



Record 4
A relaxed structure of Ba5Li5Ag2. Source: Alexandria via LeMat-Bulk, functional GGA-PBE.

Output
Calculated volume   38.4 A^3/atom
E   -25.57 eV per formula unit
Fermi-level density of states   9.5 states/eV per cell
Energy relative to the elements   -5.5 kJ/mol of atoms
SG   No. 12

abc: 4.8214 9.5300 10.6395
angles: 87.54 76.90 75.35
Fractional positions:
Ba 0.5000 0.5000 0.5000
Ba 0.3816 0.3149 0.9219
Ba 0.2962 0.0814 0.3262
Ba 0.7038 0.9186 0.6738
Ba 0.6184 0.6851 0.0781
Li 0.9556 0.7553 0.3334
Li 0.2495 0.6848 0.8161
Li 0.7505 0.3152 0.1839
Li 0.0444 0.2447 0.6666
Li 0.0000 0.0000 0.0000
Ag 0.8503 0.5398 0.7596
Ag 0.1497 0.4602 0.2404



Record 5
A relaxed structure of BaLi7Ag5. Source: Alexandria via LeMat-Bulk, functional GGA-PBE.

Output
Calculated volume   20.2 A^3/atom
E   -31.71 eV per formula unit
Fermi-level density of states   5.5 states/eV per cell
Energy relative to the elements   -15.8 kJ/mol of atoms
SG   No. 44

abc: 5.6974 7.3679 7.3679
angles: 82.73 67.25 67.25
Fractional positions:
Ba 0.0110 0.9890 0.9890
Li 0.6492 0.3508 0.3508
Li 0.3573 0.6427 0.6427
Li 0.9878 0.3697 0.6547
Li 0.9878 0.6547 0.3697
Li 0.2593 0.2407 0.2407
Li 0.5058 0.7665 0.2218
Li 0.5058 0.2218 0.7665
Ag 0.4993 0.0063 0.4912
Ag 0.0032 0.0063 0.4912
Ag 0.4993 0.4912 0.0063
Ag 0.0032 0.4912 0.0063
Ag 0.7308 0.7692 0.7692



Record 6
A relaxed structure of BaLiAg. Source: Alexandria via LeMat-Bulk, functional GGA-PBE.

Output
Calculated volume   39.9 A^3/atom
E   -5.80 eV per formula unit
Fermi-level density of states   1.4 states/eV per cell
Energy relative to the elements   28.6 kJ/mol of atoms
SG   No. 216

abc: 5.5313 5.5313 5.5313
angles: 60.00 60.00 60.00
Fractional positions:
Ag 0.5000 0.5000 0.5000
Ba 0.7500 0.7500 0.7500
Li 0.0000 0.0000 0.0000



Record 7
A relaxed structure of BaLi4Ag. Source: Alexandria via LeMat-Bulk, functional GGA-PBE.

Output
Calculated volume   24.1 A^3/atom
E   -12.41 eV per formula unit
Fermi-level density of states   5.4 states/eV per cell
Energy relative to the elements   0.3 kJ/mol of atoms
SG   No. 216

abc: 5.8902 5.8902 5.8902
angles: 60.00 60.00 60.00
Fractional positions:
Ba 0.0000 0.0000 0.0000
Li 0.8658 0.3781 0.3781
Li 0.3781 0.3781 0.8658
Li 0.3781 0.8658 0.3781
Li 0.3781 0.3781 0.3781
Ag 0.7500 0.7500 0.7500



Record 8
A relaxed structure of Ba2Li5Ag3. Source: Alexandria via LeMat-Bulk, functional GGA-PBE.

Output
Calculated volume   27.3 A^3/atom
E   -22.89 eV per formula unit
Fermi-level density of states   3.6 states/eV per cell
Energy relative to the elements   -8.9 kJ/mol of atoms
SG   No. 115

abc: 4.7066 4.7066 12.3155
angles: 90.00 90.00 90.00
Fractional positions:
Ba 0.5000 0.0000 0.2738
Ba 0.0000 0.5000 0.7262
Li 0.5000 0.5000 0.0000
Li 0.0000 0.0000 0.0000
Li 0.5000 0.0000 0.8579
Li 0.0000 0.5000 0.1421
Li 0.5000 0.5000 0.5000
Ag 0.5000 0.0000 0.6329
Ag 0.0000 0.5000 0.3671
Ag 0.0000 0.0000 0.5000



Copy entry 8 word for word.
A relaxed structure of Ba2Li5Ag3. Source: Alexandria via LeMat-Bulk, functional GGA-PBE.

Output
Calculated volume   27.3 A^3/atom
E   -22.89 eV per formula unit
Fermi-level density of states   3.6 states/eV per cell
Energy relative to the elements   -8.9 kJ/mol of atoms
SG   No. 115

abc: 4.7066 4.7066 12.3155
angles: 90.00 90.00 90.00
Fractional positions:
Ba 0.5000 0.0000 0.2738
Ba 0.0000 0.5000 0.7262
Li 0.5000 0.5000 0.0000
Li 0.0000 0.0000 0.0000
Li 0.5000 0.0000 0.8579
Li 0.0000 0.5000 0.1421
Li 0.5000 0.5000 0.5000
Ag 0.5000 0.0000 0.6329
Ag 0.0000 0.5000 0.3671
Ag 0.0000 0.0000 0.5000



> What is the formula in the first record?

Ba6LiAg



> Among the records above, which one has the lowest energy relative to the elements?

Ba2LiAg2



> Which of these has the lowest Fermi-level density of states?

BaLiAg